w) The following is a PBE-GGA calculation of crystalline CaUBi2 at its relaxed geometry, from Alexandria.

```
data_CaUBi2
_chemical_formula_sum 'Ca1 U1 Bi2'
_cell_length_a 5.893
_cell_length_b 5.893
_cell_length_c 3.412
_cell_angle_alpha 90.00
_cell_angle_beta 90.00
_cell_angle_gamma 90.00
_space_group_name_H-M_alt 'P 4/m m m'
_space_group_IT_number 123
_space_group_name_Hall '-P 4 2'
loop_
_atom_site_label
_atom_site_fract_x
_atom_site_fract_y
_atom_site_fract_z
Ca1 0.000 0.000 0.000
U1 0.500 0.500 0.000
Bi1 0.000 0.500 0.500
```

=====

x) The following is a PBE-GGA calculation of crystalline CaUBi2 at its relaxed geometry, from Alexandria.

```
data_CaUBi2
_chemical_formula_sum 'Ca3 U3 Bi6'
_cell_length_a 4.5496
_cell_length_b 4.5496
_cell_length_c 22.4592
_cell_angle_alpha 90.00
_cell_angle_beta 90.00
_cell_angle_gamma 120.00
_space_group_name_H-M_alt 'R -3 m'
_space_group_IT_number 166
_space_group_name_Hall '-R 3 2"'
loop_
_atom_site_label
_atom_site_fract_x
_atom_site_fract_y
_atom_site_fract_z
Ca1 0.0000 0.0000 0.0000
U1 0.0000 0.0000 0.5000
Bi1 0.0000 0.0000 0.2458
```

=====

y) The following is a PBE-GGA calculation of crystalline CaUBi2 at its relaxed geometry, from Alexandria.

```
data_CaUBi2
_chemical_formula_sum 'Ca1 U1 Bi2'
_cell_length_a 3.790
_cell_length_b 3.790
_cell_length_c 8.297
_cell_angle_alpha 90.00
_cell_angle_beta 90.00
_cell_angle_gamma 90.00
_space_group_name_H-M_alt 'P 4/m m m'
_space_group_IT_number 123
_space_group_name_Hall '-P 4 2'
loop_
_atom_site_label
_atom_site_fract_x
_atom_site_fract_y
_atom_site_fract_z
Ca1 0.000 0.000 0.000
U1 0.000 0.000 0.500
Bi1 0.500 0.500 0.256
```

=====

Most stable one: x), least stable one: w).

=====

w) The following is a PBE-GGA calculation of crystalline Ca2VBi2 at its relaxed geometry, from Alexandria.

```
data_Ca2VBi2
_chemical_formula_sum 'Ca4 V2 Bi4'
_cell_length_a 7.858
_cell_length_b 7.858
_cell_length_c 4.690
_cell_angle_alpha 90.00
_cell_angle_beta 90.00
_cell_angle_gamma 90.00
_space_group_name_H-M_alt 'P 4/m b m'
_space_group_IT_number 127
_space_group_name_Hall '-P 4 2ab'
loop_
_atom_site_label
_atom_site_fract_x
_atom_site_fract_y
_atom_site_fract_z
Ca1 0.158 0.342 0.000
V1 0.000 0.000 0.500
Bi1 0.155 0.655 0.500
```

=====

x) The following is a PBE-GGA calculation of crystalline Ca2VBi2 at its relaxed geometry, from Alexandria.

```
data_Ca2VBi2
_chemical_formula_sum 'Ca4 V2 Bi4'
_cell_length_a 4.864
_cell_length_b 4.864
_cell_length_c 14.221
_cell_angle_alpha 90.00
_cell_angle_beta 90.00
_cell_angle_gamma 90.00
_space_group_name_H-M_alt 'I 4/m m m'
_space_group_IT_number 139
_space_group_name_Hall '-I 4 2'
loop_
_atom_site_label
_atom_site_fract_x
_atom_site_fract_y
_atom_site_fract_z
Ca1 0.000 0.500 0.250
V1 0.000 0.000 0.000
Bi1 0.000 0.000 0.393
```

=====

Most stable one: w), least stable one: x).

=====

w) The following is a PBE-GGA calculation of crystalline CaY3Bi at its relaxed geometry, from Alexandria.

```
data_CaY3Bi
_chemical_formula_sum 'Ca1 Y3 Bi1'
_cell_length_a 5.891
_cell_length_b 5.891
_cell_length_c 5.891
_cell_angle_alpha 90.00
_cell_angle_beta 90.00
_cell_angle_gamma 90.00
_space_group_name_H-M_alt 'P m -3 m'
_space_group_IT_number 221
_space_group_name_Hall '-P 4 2 3'
loop_
_atom_site_label
_atom_site_fract_x
_atom_site_fract_y
_atom_site_fract_z
Ca1 0.000 0.000 0.000
Y1 0.000 0.500 0.500
Bi1 0.500 0.500 0.500
```

=====

x) The following is a PBE-GGA calculation of crystalline CaY3Bi at its relaxed geometry, from Alexandria.

```
data_CaY3Bi
_chemical_formula_sum 'Ca1 Y3 Bi1'
_cell_length_a 5.583
_cell_length_b 5.583
_cell_length_c 5.583
_cell_angle_alpha 90.00
_cell_angle_beta 90.00
_cell_angle_gamma 90.00
_space_group_name_H-M_alt 'P m -3 m'
_space_group_IT_number 221
_space_group_name_Hall '-P 4 2 3'
loop_
_atom_site_label
_atom_site_fract_x
_atom_site_fract_y
_atom_site_fract_z
Ca1 0.000 0.000 0.000
Y1 0.000 0.000 0.500
Bi1 0.500 0.500 0.500
```

=====

Most stable one: w), least stable one: x).